Entry 1:
First-principles (PBE) data for a geometry-optimized TlSiMo4N2 structure, as listed in OQMD via LeMat-Bulk.

Calculated values
symmetry	P-6m2
DFT total energy	-8.500	eV/atom

Unit cell a=3.284 b=3.284 c=12.326 alpha=90.00 beta=90.00 gamma=120.00
Positions (direct):
Tl: 0.000 0.000 0.000
Si: 0.333 0.667 0.500
Mo: 0.000 0.000 0.364
Mo: 0.000 0.000 0.636
Mo: 0.333 0.667 0.198
Mo: 0.333 0.667 0.802
N: 0.667 0.333 0.252
N: 0.667 0.333 0.748



Entry 2:
First-principles (PBE) data for a geometry-optimized YTmSi2Mo2N structure, as listed in OQMD via LeMat-Bulk.

Calculated values
symmetry	Cm
DFT total energy	-8.196	eV/atom

Unit cell a=5.877 b=5.877 c=7.111 alpha=123.69 beta=123.69 gamma=36.72
Positions (direct):
Y: 0.000 0.000 0.000
Tm: 0.853 0.853 0.411
Si: 0.295 0.295 0.044
Si: 0.557 0.557 0.367
Mo: 0.222 0.222 0.619
Mo: 0.629 0.629 0.789
N: 0.424 0.424 0.699



Entry 3:
First-principles (PBE) data for a geometry-optimized Si3Mo2W4N3 structure, as listed in OQMD via LeMat-Bulk.

Calculated values
symmetry	C2/c
DFT total energy	-9.646	eV/atom

Unit cell a=4.949 b=4.949 c=14.454 alpha=100.80 beta=100.80 gamma=60.06
Positions (direct):
Si: 0.082 0.918 0.750
Si: 0.095 0.412 0.749
Si: 0.412 0.095 0.249
Si: 0.588 0.905 0.751
Si: 0.905 0.588 0.251
Si: 0.918 0.082 0.250
Mo: 0.378 0.556 0.164
Mo: 0.444 0.622 0.336
Mo: 0.556 0.378 0.664
Mo: 0.622 0.444 0.836
W: 0.017 0.206 0.094
W: 0.143 0.309 0.406
W: 0.206 0.017 0.594
W: 0.309 0.143 0.906
W: 0.691 0.857 0.094
W: 0.794 0.983 0.406
W: 0.857 0.691 0.594
W: 0.983 0.794 0.906
N: 0.000 0.500 0.000
N: 0.149 0.674 0.501
N: 0.326 0.851 0.999
N: 0.500 0.000 0.500
N: 0.674 0.149 0.001
N: 0.851 0.326 0.499



Entry 4:
First-principles (PBE) data for a geometry-optimized Y4Si3Mo2N3 structure, as listed in OQMD via LeMat-Bulk.

Calculated values
symmetry	C2/c
DFT total energy	-8.270	eV/atom

Unit cell a=5.829 b=5.829 c=13.542 alpha=102.27 beta=102.27 gamma=60.16
Positions (direct):
Y: 0.036 0.202 0.104
Y: 0.133 0.296 0.396
Y: 0.202 0.036 0.604
Y: 0.296 0.133 0.896
Y: 0.704 0.867 0.104
Y: 0.798 0.964 0.396
Y: 0.867 0.704 0.604
Y: 0.964 0.798 0.896
Si: 0.174 0.826 0.250
Si: 0.342 0.414 0.750
Si: 0.414 0.342 0.250
Si: 0.586 0.658 0.750
Si: 0.658 0.586 0.250
Si: 0.826 0.174 0.750
Mo: 0.365 0.526 0.081
Mo: 0.474 0.635 0.419
Mo: 0.526 0.365 0.581
Mo: 0.635 0.474 0.919
N: 0.000 0.500 0.000
N: 0.172 0.664 0.500
N: 0.336 0.828 0.000
N: 0.500 0.000 0.500
N: 0.664 0.172 0.000
N: 0.828 0.336 0.500



Entry 5:
First-principles (PBE) data for a geometry-optimized Zr4Si3Mo2N3 structure, as listed in OQMD via LeMat-Bulk.

Calculated values
symmetry	C2/c
DFT total energy	-8.966	eV/atom

Unit cell a=5.588 b=5.588 c=13.225 alpha=102.23 beta=102.23 gamma=60.03
Positions (direct):
Zr: 0.029 0.206 0.101
Zr: 0.137 0.299 0.399
Zr: 0.206 0.029 0.601
Zr: 0.299 0.137 0.899
Zr: 0.701 0.863 0.101
Zr: 0.794 0.971 0.399
Zr: 0.863 0.701 0.601
Zr: 0.971 0.794 0.899
Si: 0.148 0.852 0.250
Si: 0.313 0.418 0.749
Si: 0.418 0.313 0.249
Si: 0.582 0.687 0.751
Si: 0.687 0.582 0.251
Si: 0.852 0.148 0.750
Mo: 0.370 0.530 0.086
Mo: 0.470 0.630 0.414
Mo: 0.530 0.370 0.586
Mo: 0.630 0.470 0.914
N: 0.000 0.500 0.000
N: 0.150 0.675 0.500
N: 0.325 0.850 0.000
N: 0.500 0.000 0.500
N: 0.675 0.150 0.000
N: 0.850 0.325 0.500



Entry 6:
First-principles (PBE) data for a geometry-optimized Sm3Mo3W2N12 structure, as listed in OQMD via LeMat-Bulk.

Calculated values
symmetry	Ia-3d
DFT total energy	-9.357	eV/atom

Unit cell a=11.108 b=11.108 c=11.108 alpha=109.47 beta=109.47 gamma=109.47
Positions (direct):
Sm: 0.125 0.250 0.375
Sm: 0.125 0.375 0.750
Sm: 0.250 0.375 0.125
Sm: 0.250 0.875 0.625
Sm: 0.375 0.125 0.250
Sm: 0.375 0.750 0.125
Sm: 0.625 0.250 0.875
Sm: 0.625 0.875 0.750
Sm: 0.750 0.125 0.375
Sm: 0.750 0.625 0.875
Sm: 0.875 0.625 0.250
Sm: 0.875 0.750 0.625
Mo: 0.125 0.750 0.875
Mo: 0.125 0.875 0.250
Mo: 0.250 0.125 0.875
Mo: 0.250 0.625 0.375
Mo: 0.375 0.250 0.625
Mo: 0.375 0.625 0.750
Mo: 0.625 0.375 0.250
Mo: 0.625 0.750 0.375
Mo: 0.750 0.375 0.625
Mo: 0.750 0.875 0.125
Mo: 0.875 0.125 0.750
Mo: 0.875 0.250 0.125
W: 0.000 0.000 0.000
W: 0.000 0.000 0.500
W: 0.000 0.500 0.000
W: 0.000 0.500 0.500
W: 0.500 0.000 0.000
W: 0.500 0.000 0.500
W: 0.500 0.500 0.000
W: 0.500 0.500 0.500
N: 0.017 0.198 0.115
N: 0.017 0.319 0.902
N: 0.083 0.698 0.681
N: 0.083 0.885 0.402
N: 0.098 0.615 0.417
N: 0.098 0.983 0.681
N: 0.115 0.017 0.198
N: 0.115 0.598 0.917
N: 0.181 0.198 0.583
N: 0.181 0.483 0.598
N: 0.198 0.115 0.017
N: 0.198 0.583 0.181
N: 0.302 0.319 0.917
N: 0.302 0.483 0.385
N: 0.319 0.902 0.017
N: 0.319 0.917 0.302
N: 0.385 0.302 0.483
N: 0.385 0.583 0.902
N: 0.402 0.083 0.885
N: 0.402 0.819 0.517
N: 0.417 0.098 0.615
N: 0.417 0.819 0.802
N: 0.483 0.385 0.302
N: 0.483 0.598 0.181
N: 0.517 0.402 0.819
N: 0.517 0.615 0.698
N: 0.583 0.181 0.198
N: 0.583 0.902 0.385
N: 0.598 0.181 0.483
N: 0.598 0.917 0.115
N: 0.615 0.417 0.098
N: 0.615 0.698 0.517
N: 0.681 0.083 0.698
N: 0.681 0.098 0.983
N: 0.698 0.517 0.615
N: 0.698 0.681 0.083
N: 0.802 0.417 0.819
N: 0.802 0.885 0.983
N: 0.819 0.517 0.402
N: 0.819 0.802 0.417
N: 0.885 0.402 0.083
N: 0.885 0.983 0.802
N: 0.902 0.017 0.319
N: 0.902 0.385 0.583
N: 0.917 0.115 0.598
N: 0.917 0.302 0.319
N: 0.983 0.681 0.098
N: 0.983 0.802 0.885



Entry 7:
First-principles (PBE) data for a geometry-optimized Sm3Mo2W3N12 structure, as listed in OQMD via LeMat-Bulk.

Calculated values
symmetry	Ia-3d
DFT total energy	-9.468	eV/atom

Unit cell a=11.142 b=11.142 c=11.142 alpha=109.47 beta=109.47 gamma=109.47
Positions (direct):
Sm: 0.125 0.250 0.375
Sm: 0.125 0.375 0.750
Sm: 0.250 0.375 0.125
Sm: 0.250 0.875 0.625
Sm: 0.375 0.125 0.250
Sm: 0.375 0.750 0.125
Sm: 0.625 0.250 0.875
Sm: 0.625 0.875 0.750
Sm: 0.750 0.125 0.375
Sm: 0.750 0.625 0.875
Sm: 0.875 0.625 0.250
Sm: 0.875 0.750 0.625
Mo: 0.000 0.000 0.000
Mo: 0.000 0.000 0.500
Mo: 0.000 0.500 0.000
Mo: 0.000 0.500 0.500
Mo: 0.500 0.000 0.000
Mo: 0.500 0.000 0.500
Mo: 0.500 0.500 0.000
Mo: 0.500 0.500 0.500
W: 0.125 0.750 0.875
W: 0.125 0.875 0.250
W: 0.250 0.125 0.875
W: 0.250 0.625 0.375
W: 0.375 0.250 0.625
W: 0.375 0.625 0.750
W: 0.625 0.375 0.250
W: 0.625 0.750 0.375
W: 0.750 0.375 0.625
W: 0.750 0.875 0.125
W: 0.875 0.125 0.750
W: 0.875 0.250 0.125
N: 0.018 0.201 0.116
N: 0.018 0.318 0.902
N: 0.085 0.701 0.682
N: 0.085 0.884 0.402
N: 0.098 0.616 0.415
N: 0.098 0.982 0.682
N: 0.116 0.018 0.201
N: 0.116 0.598 0.915
N: 0.182 0.201 0.585
N: 0.182 0.482 0.598
N: 0.201 0.116 0.018
N: 0.201 0.585 0.182
N: 0.299 0.318 0.915
N: 0.299 0.482 0.384
N: 0.318 0.902 0.018
N: 0.318 0.915 0.299
N: 0.384 0.299 0.482
N: 0.384 0.585 0.902
N: 0.402 0.085 0.884
N: 0.402 0.818 0.518
N: 0.415 0.098 0.616
N: 0.415 0.818 0.799
N: 0.482 0.384 0.299
N: 0.482 0.598 0.182
N: 0.518 0.402 0.818
N: 0.518 0.616 0.701
N: 0.585 0.182 0.201
N: 0.585 0.902 0.384
N: 0.598 0.182 0.482
N: 0.598 0.915 0.116
N: 0.616 0.415 0.098
N: 0.616 0.701 0.518
N: 0.682 0.085 0.701
N: 0.682 0.098 0.982
N: 0.701 0.518 0.616
N: 0.701 0.682 0.085
N: 0.799 0.415 0.818
N: 0.799 0.884 0.982
N: 0.818 0.518 0.402
N: 0.818 0.799 0.415
N: 0.884 0.402 0.085
N: 0.884 0.982 0.799
N: 0.902 0.018 0.318
N: 0.902 0.384 0.585
N: 0.915 0.116 0.598
N: 0.915 0.299 0.318
N: 0.982 0.682 0.098
N: 0.982 0.799 0.884



Entry 8:
First-principles (PBE) data for a geometry-optimized Sn2MoN structure, as listed in OQMD via LeMat-Bulk.

Calculated values
symmetry	P6_3/mmc
DFT total energy	-6.280	eV/atom

Unit cell a=3.177 b=3.177 c=14.741 alpha=90.00 beta=90.00 gamma=120.00
Positions (direct):
Sn: 0.333 0.667 0.103
Sn: 0.333 0.667 0.397
Sn: 0.667 0.333 0.603
Sn: 0.667 0.333 0.897
Mo: 0.333 0.667 0.750
Mo: 0.667 0.333 0.250
N: 0.000 0.000 0.000
N: 0.000 0.000 0.500



Entry 9:
First-principles (PBE) data for a geometry-optimized SnMo3N structure, as listed in OQMD via LeMat-Bulk.

Calculated values
symmetry	Pm-3m
DFT total energy	-9.043	eV/atom

Unit cell a=4.187 b=4.187 c=4.187 alpha=90.00 beta=90.00 gamma=90.00
Positions (direct):
Sn: 0.000 0.000 0.000
Mo: 0.000 0.500 0.500
Mo: 0.500 0.000 0.500
Mo: 0.500 0.500 0.000
N: 0.500 0.500 0.500



Entry 10:
First-principles (PBE) data for a geometry-optimized SnMo4N3 structure, as listed in OQMD via LeMat-Bulk.

Calculated values
symmetry	P6_3/mmc
DFT total energy	-9.049	eV/atom

Unit cell a=3.254 b=3.254 c=22.286 alpha=90.00 beta=90.00 gamma=120.00
Positions (direct):
Sn: 0.333 0.667 0.250
Sn: 0.667 0.333 0.750
Mo: 0.000 0.000 0.145
Mo: 0.000 0.000 0.355
Mo: 0.000 0.000 0.645
Mo: 0.000 0.000 0.855
Mo: 0.333 0.667 0.056
Mo: 0.333 0.667 0.444
Mo: 0.667 0.333 0.556
Mo: 0.667 0.333 0.944
N: 0.000 0.000 0.000
N: 0.000 0.000 0.500
N: 0.333 0.667 0.611
N: 0.333 0.667 0.889
N: 0.667 0.333 0.111
N: 0.667 0.333 0.389



Entry 11:
First-principles (PBE) data for a geometry-optimized SnMo3N2 structure, as listed in OQMD via LeMat-Bulk.

Calculated values
symmetry	P6_3/mmc
DFT total energy	-8.841	eV/atom

Unit cell a=3.231 b=3.231 c=17.665 alpha=90.00 beta=90.00 gamma=120.00
Positions (direct):
Sn: 0.000 0.000 0.250
Sn: 0.000 0.000 0.750
Mo: 0.000 0.000 0.000
Mo: 0.000 0.000 0.500
Mo: 0.333 0.667 0.121
Mo: 0.333 0.667 0.379
Mo: 0.667 0.333 0.621
Mo: 0.667 0.333 0.879
N: 0.333 0.667 0.567
N: 0.333 0.667 0.933
N: 0.667 0.333 0.067
N: 0.667 0.333 0.433



Entry 12:
First-principles (PBE) data for a geometry-optimized Ta4Sn3Mo2N3 structure, as listed in OQMD via LeMat-Bulk.

Calculated values
symmetry	C2/c
DFT total energy	-9.114	eV/atom

Unit cell a=5.658 b=5.658 c=13.903 alpha=101.80 beta=101.80 gamma=59.02
Positions (direct):
Ta: 0.008 0.212 0.080
Ta: 0.158 0.306 0.420
Ta: 0.212 0.008 0.580
Ta: 0.306 0.158 0.920
Ta: 0.694 0.842 0.080
Ta: 0.788 0.992 0.420
Ta: 0.842 0.694 0.580
Ta: 0.992 0.788 0.920
Sn: 0.086 0.914 0.250
Sn: 0.255 0.415 0.748
Sn: 0.415 0.255 0.248
Sn: 0.585 0.745 0.752
Sn: 0.745 0.585 0.252
Sn: 0.914 0.086 0.750
Mo: 0.382 0.534 0.083
Mo: 0.466 0.618 0.417
Mo: 0.534 0.382 0.583
Mo: 0.618 0.466 0.917
N: 0.000 0.500 0.000
N: 0.152 0.675 0.501
N: 0.325 0.848 0.999
N: 0.500 0.000 0.500
N: 0.675 0.152 0.001
N: 0.848 0.325 0.499